Nd2MnAs2O | GGA+U | optimized geometry

**Theoretical density**: 4.9 g cm⁻³
**Total DFT energy (no corrections)**: -5.416 eV/atom
**Spin magnetization**: 5.0 μB per formula unit
**Space group**: P4/mmm (123)

a b c (Å): 3.365 3.365 15.296
angles (deg): 90.00 90.00 90.00
Atoms (fractional coordinates):
Nd (0.000, 0.000, 0.138)
Nd (0.000, 0.000, 0.862)
Mn (0.000, 0.000, 0.500)
As (0.000, 0.000, 0.338)
As (0.000, 0.000, 0.662)
O (0.000, 0.000, 0.000)